# 1
Density functional theory data (GGA-PBE) for a geometry-optimized FeSi4Au structure.

It has space group F-43m (No. 216), with a = 7.123 Å, b = 7.123 Å, c = 7.123 Å, α = 90.00°, β = 90.00° and γ = 90.00°. The asymmetric unit holds Fe at (0.000, 0.000, 0.000), Si at (0.126, 0.126, 0.626) and Au at (0.250, 0.250, 0.250).

# 2
Density functional theory data (GGA-PBE) for a geometry-optimized Fe2SiAu structure.

It has space group Pm (No. 6), with a = 2.749 Å, b = 3.937 Å, c = 5.150 Å, α = 90.00°, β = 97.41° and γ = 90.00°. The asymmetric unit holds Fe at (0.000, 0.000, 0.000), Fe at (0.203, 0.500, 0.751), Si at (0.619, 0.500, 0.174) and Au at (0.636, 0.000, 0.487).

| no. | size of the total moment (μB per formula unit) | raw formation energy (eV per atom) |
| --- | --- | --- |
| 1 | 2.9 | 0.545 |
| 2 | 4.8 | 0.031 |